Record 1
# Nb5Ir4Ru

A relaxed Nb5Ir4Ru crystal (PBE, the Alexandria database).

Values from the calculation:
Formation energy from the elements in eV per atom: -0.44
Symmetry: P4/mmm (123)
Calculated volume in A^3/atom: 16.1

Cell lengths 2.898, 2.898, 19.203 Å; angles 90.00, 90.00, 90.00 degrees
Sites, in units of the cell vectors:
Nb (0.000, 0.000, 0.000)
Nb (0.000, 0.000, 0.202)
Nb (0.000, 0.000, 0.403)
Nb (0.000, 0.000, 0.597)
Nb (0.000, 0.000, 0.798)
Ir (0.500, 0.500, 0.101)
Ir (0.500, 0.500, 0.303)
Ir (0.500, 0.500, 0.697)
Ir (0.500, 0.500, 0.899)
Ru (0.500, 0.500, 0.500)

=====

Record 2
# NbIr2Ru2

A relaxed NbIr2Ru2 crystal (PBE, the Alexandria database).

Values from the calculation:
Formation energy from the elements in eV per atom: -0.02
Energy above the most stable polymorph in this dataset in meV/atom: 0
Symmetry: P4/mbm (127)
Calculated volume in A^3/atom: 15.4

Cell lengths 7.466, 7.466, 2.771 Å; angles 90.00, 90.00, 90.00 degrees
Sites, in units of the cell vectors:
Nb (0.000, 0.000, 0.000)
Nb (0.500, 0.500, 0.000)
Ir (0.174, 0.326, 0.500)
Ir (0.326, 0.826, 0.500)
Ir (0.674, 0.174, 0.500)
Ir (0.826, 0.674, 0.500)
Ru (0.122, 0.622, 0.000)
Ru (0.378, 0.122, 0.000)
Ru (0.622, 0.878, 0.000)
Ru (0.878, 0.378, 0.000)

=====

Record 3
# Nb2IrRu3

A relaxed Nb2IrRu3 crystal (PBE, the Alexandria database).

Values from the calculation:
Formation energy from the elements in eV per atom: 0.36
Energy above the most stable polymorph in this dataset in meV/atom: 215
Symmetry: Immm (71)
Calculated volume in A^3/atom: 16.7

Cell lengths 5.510, 5.510, 5.510 Å; angles 129.50, 126.98, 76.25 degrees
Sites, in units of the cell vectors:
Nb (0.186, 0.186, 0.000)
Nb (0.814, 0.814, 0.000)
Ir (0.500, 0.500, 0.000)
Ru (0.000, 0.500, 0.500)
Ru (0.348, 0.848, 0.500)
Ru (0.652, 0.152, 0.500)

=====

What is the calculated volume in the first record? 16.1 A^3/atom

=====

Which of these has the highest calculated volume? Nb2IrRu3

=====

Which value of formation energy from the elements does entry 3 give? 0.36 eV per atom